A geometry-optimized RbNdVF6 structure. Source: Alexandria, functional GGA+U.

Calculated values
The calculation puts the calculated total energy at -5.983 eV per atom. The crystal system is orthorhombic.

Cell: 8.1302 8.1302 8.1302 Å, 120.85 117.02 91.88°
Fractional coordinates of all 18 atoms:
1 Rb 0.2818 0.0318 0.2500
2 Rb 0.7182 0.9682 0.7500
3 Nd 0.0000 0.5000 0.5000
4 Nd 0.5000 0.5000 0.0000
5 V 0.0000 0.0000 0.5000
6 V 0.0000 0.5000 0.0000
7 F 0.0378 0.3948 0.2031
8 F 0.0378 0.8347 0.6430
9 F 0.0425 0.7925 0.2500
10 F 0.3083 0.1653 0.7031
11 F 0.3083 0.6052 0.1430
12 F 0.3326 0.5826 0.7500
13 F 0.6674 0.4174 0.2500
14 F 0.6917 0.3948 0.8570
15 F 0.6917 0.8347 0.2969
16 F 0.9575 0.2075 0.7500
17 F 0.9622 0.1653 0.3570
18 F 0.9622 0.6052 0.7969